<one>
First-principles (PBE) data for crystalline TlBi2 at its relaxed geometry, as listed in the Alexandria database.

Unit cell a=5.7406 b=5.7406 c=3.4056 alpha=90.00 beta=90.00 gamma=120.00
Space group P6/mmm (No. 191)
One atom of each set of equivalent atoms:
Tl  0.0000  0.0000  0.0000 [1 per cell]
Bi  0.3333  0.6667  0.5000 [2 per cell]

<two>
First-principles (PBE) data for crystalline TlBi2 at its relaxed geometry, as listed in the Alexandria database.

Unit cell a=18.969 b=3.372 c=6.396 alpha=90.00 beta=95.09 gamma=90.00
Space group C2/m (No. 12)
One atom of each set of equivalent atoms:
Tl  0.156  0.000  0.360 [4 per cell]
Bi  0.017  0.500  0.758 [4 per cell]
Bi  0.180  0.500  0.839 [4 per cell]

We find <one> to be the most stable, with the next structure 39 meV/atom higher.

<one>
First-principles (PBE) data for crystalline TlBi2 at its relaxed geometry, as listed in the Alexandria database.

Unit cell a=3.996 b=3.996 c=12.434 alpha=90.00 beta=90.00 gamma=90.00
Space group I4/mmm (No. 139)
One atom of each set of equivalent atoms:
Tl  0.000  0.000  0.000 [2 per cell]
Bi  0.000  0.000  0.316 [4 per cell]

<two>
First-principles (PBE) data for crystalline TlBi2 at its relaxed geometry, as listed in the Alexandria database.

Unit cell a=9.454 b=9.454 c=9.454 alpha=90.00 beta=90.00 gamma=90.00
Space group Fd-3m (No. 227, origin choice 2)
One atom of each set of equivalent atoms:
Tl  0.125  0.125  0.125 [8 per cell]
Bi  0.000  0.000  0.500 [16 per cell]

We find <one> to be the most stable, with the next structure 22 meV/atom higher.

<one>
First-principles (PBE) data for crystalline Tl2Bi3 at its relaxed geometry, as listed in the Alexandria database.

Unit cell a=14.624 b=25.968 c=3.596 alpha=90.00 beta=90.00 gamma=90.00
Space group Fdd2 (No. 43)
One atom of each set of equivalent atoms:
Tl  0.073  0.195  0.000 [16 per cell]
Bi  0.000  0.000  0.224 [8 per cell]
Bi  0.119  0.329  0.968 [16 per cell]

<two>
First-principles (PBE) data for crystalline Tl2Bi3 at its relaxed geometry, as listed in the Alexandria database.

Unit cell a=4.979 b=7.193 c=9.984 alpha=90.00 beta=90.00 gamma=90.00
Space group Immm (No. 71)
One atom of each set of equivalent atoms:
Tl  0.000  0.000  0.217 [4 per cell]
Bi  0.000  0.284  0.500 [4 per cell]
Bi  0.000  0.500  0.000 [2 per cell]

We find <two> to be the most stable, with the next structure 44 meV/atom higher.

<one>
First-principles (PBE) data for crystalline Tl3Bi2 at its relaxed geometry, as listed in the Alexandria database.

Unit cell a=12.308 b=17.801 c=5.973 alpha=90.00 beta=90.00 gamma=90.00
Space group Fdd2 (No. 43)
One atom of each set of equivalent atoms:
Tl  0.000  0.000  0.000 [8 per cell]
Tl  0.030  0.098  0.484 [16 per cell]
Bi  0.028  0.213  0.954 [16 per cell]

<two>
First-principles (PBE) data for crystalline Tl3Bi2 at its relaxed geometry, as listed in the Alexandria database.

Unit cell a=3.509 b=3.509 c=26.264 alpha=90.00 beta=90.00 gamma=90.00
Space group I4/mmm (No. 139)
One atom of each set of equivalent atoms:
Tl  0.000  0.000  0.000 [2 per cell]
Tl  0.000  0.000  0.195 [4 per cell]
Bi  0.000  0.000  0.400 [4 per cell]

We find <two> to be the most stable, with the next structure 45 meV/atom higher.

<one>
First-principles (PBE) data for crystalline Tl6Bi at its relaxed geometry, as listed in the Alexandria database.

Unit cell a=5.445 b=5.445 c=7.990 alpha=90.00 beta=90.00 gamma=90.00
Space group P4/mmm (No. 123)
One atom of each set of equivalent atoms:
Tl  0.000  0.000  0.000 [1 per cell]
Tl  0.000  0.500  0.238 [4 per cell]
Tl  0.500  0.500  0.500 [1 per cell]
Bi  0.000  0.000  0.500 [1 per cell]

<two>
First-principles (PBE) data for crystalline Tl6Bi at its relaxed geometry, as listed in the Alexandria database.

Unit cell a=8.493 b=8.493 c=8.493 alpha=90.00 beta=90.00 gamma=90.00
Space group Im-3m (No. 229)
One atom of each set of equivalent atoms:
Tl  0.000  0.250  0.500 [12 per cell]
Bi  0.000  0.000  0.000 [2 per cell]

We find <one> to be the most stable, with the next structure 498 meV/atom higher.

<one>
First-principles (PBE) data for crystalline TlBi4 at its relaxed geometry, as listed in the Alexandria database.

Unit cell a=5.816 b=5.816 c=5.816 alpha=90.00 beta=90.00 gamma=90.00
Space group Pm-3m (No. 221)
One atom of each set of equivalent atoms:
Tl  0.000  0.000  0.000 [1 per cell]
Bi  0.000  0.000  0.500 [3 per cell]
Bi  0.500  0.500  0.500 [1 per cell]

<two>
First-principles (PBE) data for crystalline TlBi4 at its relaxed geometry, as listed in the Alexandria database.

Unit cell a=3.386 b=5.615 c=17.145 alpha=90.00 beta=90.00 gamma=90.00
Space group Immm (No. 71)
One atom of each set of equivalent atoms:
Tl  0.000  0.000  0.000 [2 per cell]
Bi  0.000  0.000  0.214 [4 per cell]
Bi  0.000  0.000  0.404 [4 per cell]

We find <two> to be the most stable, with the next structure 679 meV/atom higher.

<one>
First-principles (PBE) data for crystalline Tl4Bi3 at its relaxed geometry, as listed in the Alexandria database.

Unit cell a=10.914 b=5.234 c=8.039 alpha=90.00 beta=101.02 gamma=90.00
Space group C2/m (No. 12)
One atom of each set of equivalent atoms:
Tl  0.079  0.000  0.214 [4 per cell]
Tl  0.209  0.000  0.648 [4 per cell]
Bi  0.000  0.500  0.500 [2 per cell]
Bi  0.127  0.500  0.923 [4 per cell]

<two>
First-principles (PBE) data for crystalline Tl4Bi3 at its relaxed geometry, as listed in the Alexandria database.

Unit cell a=6.5591 b=6.5591 c=6.4773 alpha=90.00 beta=90.00 gamma=120.00
Space group P6/mmm (No. 191)
One atom of each set of equivalent atoms:
Tl  0.0000  0.0000  0.2469 [2 per cell]
Tl  0.3333  0.6667  0.0000 [2 per cell]
Bi  0.0000  0.5000  0.5000 [3 per cell]

We find <one> to be the most stable, with the next structure 28 meV/atom higher.

<one>
First-principles (PBE) data for crystalline Tl8Bi3 at its relaxed geometry, as listed in the Alexandria database.

Unit cell a=11.1646 b=11.1646 c=10.9732 alpha=90.00 beta=90.00 gamma=120.00
Space group R-3 (No. 148, hexagonal axes)
One atom of each set of equivalent atoms:
Tl  0.0000  0.0000  0.1450 [6 per cell]
Tl  0.0177  0.7809  0.4054 [18 per cell]
Bi  0.0000  0.5000  0.5000 [9 per cell]

<two>
First-principles (PBE) data for crystalline Tl8Bi3 at its relaxed geometry, as listed in the Alexandria database.

Unit cell a=10.976 b=5.069 c=13.117 alpha=90.00 beta=107.35 gamma=90.00
Space group C2/m (No. 12)
One atom of each set of equivalent atoms:
Tl  0.048  0.000  0.319 [4 per cell]
Tl  0.134  0.000  0.952 [4 per cell]
Tl  0.180  0.500  0.771 [4 per cell]
Tl  0.227  0.000  0.590 [4 per cell]
Bi  0.000  0.500  0.500 [2 per cell]
Bi  0.089  0.500  0.131 [4 per cell]

We find <two> to be the most stable, with the next structure 107 meV/atom higher.

<one>
First-principles (PBE) data for crystalline Tm6Tl5Bi at its relaxed geometry, as listed in the Alexandria database.

Unit cell a=9.105 b=16.307 c=5.417 alpha=90.00 beta=126.39 gamma=90.00
Space group C2/m (No. 12)
One atom of each set of equivalent atoms:
Tm  0.249  0.000  0.248 [4 per cell]
Tm  0.249  0.167  0.749 [8 per cell]
Tl  0.000  0.171  0.000 [4 per cell]
Tl  0.000  0.336  0.500 [4 per cell]
Tl  0.000  0.500  0.000 [2 per cell]
Bi  0.000  0.000  0.500 [2 per cell]

<two>
First-principles (PBE) data for crystalline Tm6Tl5Bi at its relaxed geometry, as listed in the Alexandria database.

Unit cell a=5.015 b=7.949 c=8.509 alpha=90.07 beta=90.03 gamma=108.24
Space group P-1 (No. 2)
One atom of each set of equivalent atoms:
Tm  0.001  0.000  0.247 [2 per cell]
Tm  0.333  0.666  0.246 [2 per cell]
Tm  0.333  0.666  0.754 [2 per cell]
Tl  0.167  0.334  0.000 [2 per cell]
Tl  0.172  0.343  0.500 [2 per cell]
Tl  0.500  0.000  0.000 [1 per cell]
Bi  0.500  0.000  0.500 [1 per cell]

We find <two> to be the most stable, with the next structure 11 meV/atom higher.

<one>
First-principles (PBE) data for crystalline UTlBi2 at its relaxed geometry, as listed in the Alexandria database.

Unit cell a=4.169 b=4.169 c=6.860 alpha=90.00 beta=90.00 gamma=90.00
Space group P4/mmm (No. 123)
One atom of each set of equivalent atoms:
U  0.000  0.000  0.000 [1 per cell]
Tl  0.000  0.000  0.500 [1 per cell]
Bi  0.500  0.500  0.232 [2 per cell]

<two>
First-principles (PBE) data for crystalline UTlBi2 at its relaxed geometry, as listed in the Alexandria database.

Unit cell a=4.5308 b=4.5308 c=24.3307 alpha=90.00 beta=90.00 gamma=120.00
Space group R-3m (No. 166, hexagonal axes)
One atom of each set of equivalent atoms:
U  0.0000  0.0000  0.0000 [3 per cell]
Tl  0.0000  0.0000  0.5000 [3 per cell]
Bi  0.0000  0.0000  0.2620 [6 per cell]

We find <one> to be the most stable, with the next structure 186 meV/atom higher.

<one>
First-principles (PBE) data for crystalline UTlBi2 at its relaxed geometry, as listed in the Alexandria database.

Unit cell a=5.114 b=5.114 c=4.358 alpha=90.00 beta=90.00 gamma=90.00
Space group P4/mmm (No. 123)
One atom of each set of equivalent atoms:
U  0.000  0.000  0.000 [1 per cell]
Tl  0.500  0.500  0.000 [1 per cell]
Bi  0.000  0.500  0.500 [2 per cell]

<two>
First-principles (PBE) data for crystalline UTlBi2 at its relaxed geometry, as listed in the Alexandria database.

Unit cell a=4.7800 b=4.7800 c=21.7133 alpha=90.00 beta=90.00 gamma=120.00
Space group R3m (No. 160, hexagonal axes)
One atom of each set of equivalent atoms:
U  0.0000  0.0000  0.0000 [3 per cell]
Tl  0.0000  0.0000  0.8303 [3 per cell]
Bi  0.0000  0.0000  0.4064 [3 per cell]
Bi  0.0000  0.0000  0.5983 [3 per cell]

We find <one> to be the most stable, with the next structure 163 meV/atom higher.

<one>
First-principles (PBE) data for crystalline TlBi3W at its relaxed geometry, as listed in the Alexandria database.

Unit cell a=5.486 b=5.486 c=5.486 alpha=90.00 beta=90.00 gamma=90.00
Space group Pm-3m (No. 221)
One atom of each set of equivalent atoms:
Tl  0.000  0.000  0.000 [1 per cell]
Bi  0.000  0.500  0.500 [3 per cell]
W  0.500  0.500  0.500 [1 per cell]

<two>
First-principles (PBE) data for crystalline TlBi3W at its relaxed geometry, as listed in the Alexandria database.

Unit cell a=5.725 b=5.725 c=5.725 alpha=90.00 beta=90.00 gamma=90.00
Space group Pm-3m (No. 221)
One atom of each set of equivalent atoms:
Tl  0.000  0.000  0.000 [1 per cell]
Bi  0.000  0.000  0.500 [3 per cell]
W  0.500  0.500  0.500 [1 per cell]

We find <one> to be the most stable, with the next structure 1268 meV/atom higher.